No. 1
FeTe2Pb | PBE | relaxed

## Properties
**Space-group type**: Pm (6)
**Final energy**: -4.506 eV/atom
**Total magnetic moment**: 3.3 μB/f.u.
**Uncorrected formation energy**: 0.11 eV per atom

a = 4.5488 Å, b = 4.0482 Å, c = 7.1620 Å
α = 90.00°, β = 108.44°, γ = 90.00°
Fractional coordinates of all 4 atoms:
Fe 0.0000 0.0000 0.0000
Te 0.1164 0.5000 0.2329
Te 0.8175 0.0000 0.6327
Pb 0.4340 0.5000 0.8676



No. 2
Li2Mg5H12 | PBE | relaxed

## Properties
**Space-group type**: C2/m (12)
**Final energy**: -2.924 eV/atom
**Total magnetic moment**: 0.0 μB/f.u.

a = 5.9562 Å, b = 5.9562 Å, c = 6.4533 Å
α = 104.71°, β = 104.71°, γ = 51.78°
Fractional coordinates of all 19 atoms:
Li 0.2307 0.7693 0.0000
Li 0.7693 0.2307 0.0000
Mg 0.0000 0.0000 0.5000
Mg 0.3100 0.3100 0.1535
Mg 0.3170 0.3170 0.6533
Mg 0.6830 0.6830 0.3467
Mg 0.6899 0.6899 0.8465
H 0.0325 0.0325 0.8010
H 0.0860 0.5550 0.8877
H 0.1048 0.5981 0.4468
H 0.4019 0.8952 0.5532
H 0.4450 0.9140 0.1123
H 0.4917 0.4917 0.1966
H 0.5083 0.5083 0.8034
H 0.5550 0.0860 0.8877
H 0.5981 0.1048 0.4468
H 0.8952 0.4019 0.5532
H 0.9140 0.4450 0.1123
H 0.9675 0.9675 0.1990



No. 3
MnTlOs2 | PBE | relaxed

## Properties
**Space-group type**: P2/m (10)
**Final energy**: -7.738 eV/atom
**Total magnetic moment**: 3.5 μB/f.u.
**Calculated formation energy**: 3.0 eV per formula unit

a = 2.8406 Å, b = 4.5154 Å, c = 5.1843 Å
α = 90.00°, β = 90.49°, γ = 90.00°
Fractional coordinates of all 4 atoms:
Mn 0.0000 0.0000 0.0000
Tl 0.5000 0.0000 0.5000
Os 0.2740 0.5000 0.7890
Os 0.7260 0.5000 0.2110



No. 4
CrPt5 | PBE | relaxed

## Properties
**Space-group type**: P4/mmm (123)
**Final energy**: -6.774 eV/atom
**Total magnetic moment**: 0.8 μB/f.u.
**Calculated formation energy**: -0.8 eV per formula unit

a = 2.7417 Å, b = 2.7417 Å, c = 11.9681 Å
α = 90.00°, β = 90.00°, γ = 90.00°
Fractional coordinates of all 6 atoms:
Cr 0.0000 0.0000 0.0000
Pt 0.0000 0.0000 0.3271
Pt 0.0000 0.0000 0.6729
Pt 0.5000 0.5000 0.1495
Pt 0.5000 0.5000 0.5000
Pt 0.5000 0.5000 0.8505



No. 5
NdGa3PdAu | PBE | relaxed

## Properties
**Space-group type**: Cmcm (63)
**Final energy**: -4.102 eV/atom
**Total magnetic moment**: 0.0 μB/f.u.
**Calculated formation energy**: -2.3 eV per formula unit

a = 7.5193 Å, b = 7.5193 Å, c = 6.0723 Å
α = 90.00°, β = 90.00°, γ = 128.08°
Fractional coordinates of all 12 atoms:
Nd 0.2077 0.7923 0.7500
Nd 0.7923 0.2077 0.2500
Ga 0.1973 0.8027 0.2500
Ga 0.2984 0.2984 0.0000
Ga 0.2984 0.2984 0.5000
Ga 0.7016 0.7016 0.0000
Ga 0.7016 0.7016 0.5000
Ga 0.8027 0.1973 0.7500
Pd 0.0197 0.9803 0.2500
Pd 0.9803 0.0197 0.7500
Au 0.3756 0.6244 0.2500
Au 0.6244 0.3756 0.7500



No. 6
RhWAu2 | PBE | relaxed

## Properties
**Space-group type**: Pmmm (47)
**Final energy**: -6.305 eV/atom
**Total magnetic moment**: 0.0 μB/f.u.
**Calculated formation energy**: 1.6 eV per formula unit

a = 2.8381 Å, b = 4.7476 Å, c = 4.9590 Å
α = 90.00°, β = 90.00°, γ = 90.00°
Fractional coordinates of all 4 atoms:
Rh 0.0000 0.0000 0.0000
W 0.5000 0.5000 0.0000
Au 0.0000 0.5000 0.5000
Au 0.5000 0.0000 0.5000



no.,D(E_F) (states/eV/f.u.)
1,3.64
2,0.00
3,3.62
4,7.18
5,2.83
6,4.63